(1)
# GGA-PBE Ni2AgHOs, optimized geometry
# total magnetization = 1.5 μB per cell
# N(E_F) = 6.9 states/eV per cell
# energy = -25.9 eV/cell
data_Ni2AgHOs
_chemical_formula_sum 'Ni2 Ag1 H1 Os1'
_cell_length_a 3.845
_cell_length_b 3.845
_cell_length_c 3.817
_cell_angle_alpha 90.00
_cell_angle_beta 90.00
_cell_angle_gamma 90.00
_symmetry_space_group_name_H-M 'P 4/m m m'
_symmetry_Int_Tables_number 123
_symmetry_space_group_name_Hall '-P 4 2'
loop_
_atom_site_label
_atom_site_type_symbol
_atom_site_fract_x
_atom_site_fract_y
_atom_site_fract_z
Ni1 Ni 0.000 0.500 0.000
Ag1 Ag 0.000 0.000 0.500
H1 H 0.000 0.000 0.000
Os1 Os 0.500 0.500 0.500

---

(2)
# GGA-PBE NiAg2HPd, optimized geometry
# total magnetization = 0.0 μB per cell
# N(E_F) = 1.5 states/eV per cell
# energy = -19.3 eV/cell
data_NiAg2HPd
_chemical_formula_sum 'Ni1 Ag2 H1 Pd1'
_cell_length_a 4.587
_cell_length_b 4.587
_cell_length_c 3.135
_cell_angle_alpha 90.00
_cell_angle_beta 90.00
_cell_angle_gamma 90.00
_symmetry_space_group_name_H-M 'P 4/m m m'
_symmetry_Int_Tables_number 123
_symmetry_space_group_name_Hall '-P 4 2'
loop_
_atom_site_label
_atom_site_type_symbol
_atom_site_fract_x
_atom_site_fract_y
_atom_site_fract_z
Ni1 Ni 0.000 0.000 0.000
Ag1 Ag 0.000 0.500 0.500
H1 H 0.000 0.000 0.500
Pd1 Pd 0.500 0.500 0.000

---

(3)
# GGA-PBE NiAgHPd2, optimized geometry
# total magnetization = 0.6 μB per cell
# N(E_F) = 4.8 states/eV per cell
# ΔE to the lowest computed polymorph = 0.0 meV/atom
data_NiAgHPd2
_chemical_formula_sum 'Ni1 Ag1 H1 Pd2'
_cell_length_a 4.042
_cell_length_b 4.042
_cell_length_c 3.809
_cell_angle_alpha 90.00
_cell_angle_beta 90.00
_cell_angle_gamma 90.00
_symmetry_space_group_name_H-M 'P 4/m m m'
_symmetry_Int_Tables_number 123
_symmetry_space_group_name_Hall '-P 4 2'
loop_
_atom_site_label
_atom_site_type_symbol
_atom_site_fract_x
_atom_site_fract_y
_atom_site_fract_z
Ni1 Ni 0.000 0.000 0.000
Ag1 Ag 0.500 0.500 0.000
H1 H 0.000 0.000 0.500
Pd1 Pd 0.000 0.500 0.500

---

(4)
# GGA-PBE NiAgHPd2, optimized geometry
# total magnetization = 1.0 μB per cell
# N(E_F) = 4.9 states/eV per cell
# ΔE to the lowest computed polymorph = 84.3 meV/atom
data_NiAgHPd2
_chemical_formula_sum 'Ni1 Ag1 H1 Pd2'
_cell_length_a 3.941
_cell_length_b 3.941
_cell_length_c 4.073
_cell_angle_alpha 90.00
_cell_angle_beta 90.00
_cell_angle_gamma 90.00
_symmetry_space_group_name_H-M 'P 4/m m m'
_symmetry_Int_Tables_number 123
_symmetry_space_group_name_Hall '-P 4 2'
loop_
_atom_site_label
_atom_site_type_symbol
_atom_site_fract_x
_atom_site_fract_y
_atom_site_fract_z
Ni1 Ni 0.000 0.000 0.000
Ag1 Ag 0.500 0.500 0.000
H1 H 0.500 0.500 0.500
Pd1 Pd 0.000 0.500 0.500

---

(5)
# GGA-PBE NiAg2H6Pd, optimized geometry
# total magnetization = 0.0 μB per cell
# N(E_F) = 0.9 states/eV per cell
# energy = -35.3 eV/cell
data_NiAg2H6Pd
_chemical_formula_sum 'Ni1 Ag2 H6 Pd1'
_cell_length_a 4.812
_cell_length_b 4.849
_cell_length_c 4.943
_cell_angle_alpha 90.63
_cell_angle_beta 118.56
_cell_angle_gamma 119.50
_symmetry_space_group_name_H-M 'P -1'
_symmetry_Int_Tables_number 2
loop_
_symmetry_equiv_pos_as_xyz
'x,y,z'
'-x,-y,-z'
loop_
_atom_site_label
_atom_site_type_symbol
_atom_site_fract_x
_atom_site_fract_y
_atom_site_fract_z
Ni1 Ni 0.000 0.000 0.000
Ag1 Ag 0.493 0.750 0.236
H1 H 0.063 0.231 0.763
H2 H 0.074 0.304 0.238
H3 H 0.468 0.171 0.237
Pd1 Pd 0.000 0.500 0.500

---

(6)
# GGA-PBE PrNiAgH6, optimized geometry
# total magnetization = 0.0 μB per cell
# N(E_F) = 2.0 states/eV per cell
# energy = -35.1 eV/cell
data_PrNiAgH6
_chemical_formula_sum 'Pr1 Ni1 Ag1 H6'
_cell_length_a 4.6583
_cell_length_b 4.6583
_cell_length_c 4.4151
_cell_angle_alpha 90.00
_cell_angle_beta 90.00
_cell_angle_gamma 120.00
_symmetry_space_group_name_H-M 'P -6 m 2'
_symmetry_Int_Tables_number 187
_symmetry_space_group_name_Hall 'P -6 2'
loop_
_atom_site_label
_atom_site_type_symbol
_atom_site_fract_x
_atom_site_fract_y
_atom_site_fract_z
Pr1 Pr 0.0000 0.0000 0.0000
Ni1 Ni 0.6667 0.3333 0.5000
Ag1 Ag 0.3333 0.6667 0.5000
H1 H 0.5223 0.0447 0.2397

---

(7)
# GGA-PBE NiAgHPt2, optimized geometry
# total magnetization = 0.9 μB per cell
# N(E_F) = 4.1 states/eV per cell
# ΔE to the lowest computed polymorph = 0.0 meV/atom
data_NiAgHPt2
_chemical_formula_sum 'Ni1 Ag1 H1 Pt2'
_cell_length_a 3.986
_cell_length_b 3.986
_cell_length_c 3.975
_cell_angle_alpha 90.00
_cell_angle_beta 90.00
_cell_angle_gamma 90.00
_symmetry_space_group_name_H-M 'P 4/m m m'
_symmetry_Int_Tables_number 123
_symmetry_space_group_name_Hall '-P 4 2'
loop_
_atom_site_label
_atom_site_type_symbol
_atom_site_fract_x
_atom_site_fract_y
_atom_site_fract_z
Ni1 Ni 0.000 0.000 0.000
Ag1 Ag 0.500 0.500 0.000
H1 H 0.000 0.000 0.500
Pt1 Pt 0.000 0.500 0.500

---

(8)
# GGA-PBE NiAgHPt2, optimized geometry
# total magnetization = 1.2 μB per cell
# N(E_F) = 4.2 states/eV per cell
# ΔE to the lowest computed polymorph = 72.9 meV/atom
data_NiAgHPt2
_chemical_formula_sum 'Ni1 Ag1 H1 Pt2'
_cell_length_a 3.925
_cell_length_b 3.925
_cell_length_c 4.166
_cell_angle_alpha 90.00
_cell_angle_beta 90.00
_cell_angle_gamma 90.00
_symmetry_space_group_name_H-M 'P 4/m m m'
_symmetry_Int_Tables_number 123
_symmetry_space_group_name_Hall '-P 4 2'
loop_
_atom_site_label
_atom_site_type_symbol
_atom_site_fract_x
_atom_site_fract_y
_atom_site_fract_z
Ni1 Ni 0.000 0.000 0.000
Ag1 Ag 0.500 0.500 0.000
H1 H 0.500 0.500 0.500
Pt1 Pt 0.000 0.500 0.500

---

(9)
# GGA-PBE Re2NiAgH, optimized geometry
# total magnetization = 0.0 μB per cell
# N(E_F) = 3.4 states/eV per cell
# energy = -34.0 eV/cell
data_Re2NiAgH
_chemical_formula_sum 'Re2 Ni1 Ag1 H1'
_cell_length_a 3.806
_cell_length_b 3.806
_cell_length_c 4.230
_cell_angle_alpha 90.00
_cell_angle_beta 90.00
_cell_angle_gamma 90.00
_symmetry_space_group_name_H-M 'P 4/m m m'
_symmetry_Int_Tables_number 123
_symmetry_space_group_name_Hall '-P 4 2'
loop_
_atom_site_label
_atom_site_type_symbol
_atom_site_fract_x
_atom_site_fract_y
_atom_site_fract_z
Re1 Re 0.000 0.500 0.000
Ni1 Ni 0.000 0.000 0.500
Ag1 Ag 0.500 0.500 0.500
H1 H 0.500 0.500 0.000

---

(10)
# GGA-PBE Ni2AgHRh, optimized geometry
# total magnetization = 1.5 μB per cell
# N(E_F) = 6.6 states/eV per cell
# energy = -24.4 eV/cell
data_Ni2AgHRh
_chemical_formula_sum 'Ni2 Ag1 H1 Rh1'
_cell_length_a 3.890
_cell_length_b 3.890
_cell_length_c 3.732
_cell_angle_alpha 90.00
_cell_angle_beta 90.00
_cell_angle_gamma 90.00
_symmetry_space_group_name_H-M 'P 4/m m m'
_symmetry_Int_Tables_number 123
_symmetry_space_group_name_Hall '-P 4 2'
loop_
_atom_site_label
_atom_site_type_symbol
_atom_site_fract_x
_atom_site_fract_y
_atom_site_fract_z
Ni1 Ni 0.000 0.500 0.000
Ag1 Ag 0.000 0.000 0.500
H1 H 0.500 0.500 0.000
Rh1 Rh 0.500 0.500 0.500

---

(11)
# GGA-PBE Sc2NiAgH, optimized geometry
# total magnetization = 0.0 μB per cell
# N(E_F) = 2.9 states/eV per cell
# energy = -26.6 eV/cell
data_Sc2NiAgH
_chemical_formula_sum 'Sc2 Ni1 Ag1 H1'
_cell_length_a 4.645
_cell_length_b 4.645
_cell_length_c 3.450
_cell_angle_alpha 90.00
_cell_angle_beta 90.00
_cell_angle_gamma 90.00
_symmetry_space_group_name_H-M 'P 4/m m m'
_symmetry_Int_Tables_number 123
_symmetry_space_group_name_Hall '-P 4 2'
loop_
_atom_site_label
_atom_site_type_symbol
_atom_site_fract_x
_atom_site_fract_y
_atom_site_fract_z
Sc1 Sc 0.000 0.500 0.000
Ni1 Ni 0.000 0.000 0.500
Ag1 Ag 0.500 0.500 0.500
H1 H 0.000 0.000 0.000

---

(12)
# GGA-PBE ScNiAg2H, optimized geometry
# total magnetization = 0.0 μB per cell
# N(E_F) = 3.3 states/eV per cell
# energy = -17.8 eV/cell
data_ScNiAg2H
_chemical_formula_sum 'Sc1 Ni1 Ag2 H1'
_cell_length_a 5.145
_cell_length_b 5.145
_cell_length_c 3.348
_cell_angle_alpha 90.00
_cell_angle_beta 90.00
_cell_angle_gamma 90.00
_symmetry_space_group_name_H-M 'P 4/m m m'
_symmetry_Int_Tables_number 123
_symmetry_space_group_name_Hall '-P 4 2'
loop_
_atom_site_label
_atom_site_type_symbol
_atom_site_fract_x
_atom_site_fract_y
_atom_site_fract_z
Sc1 Sc 0.000 0.000 0.000
Ni1 Ni 0.500 0.500 0.500
Ag1 Ag 0.000 0.500 0.000
H1 H 0.000 0.000 0.500